[1]
HfTiTc2: relaxed, PBE.

The space group is Immm (No. 71) and the conventional cell measures 2.7853, 4.8626 and 10.2278 Å, with angles of 90.00, 90.00 and 90.00 degrees. The inequivalent atoms are Hf at (0.0000, 0.0000, 0.0000), Ti at (0.0000, 0.0000, 0.5000) and Tc at (0.0000, 0.0000, 0.2638).

Its magnetization is 0.00 μB/cell. The calculation puts the electronic total energy at -73.27 eV/cell. As for the formation energy from the elements: 0.486 eV/atom.


[2]
Hf4TiTc5: relaxed, PBE.

The space group is P4/mmm (No. 123) and the conventional cell measures 3.2354, 3.2354 and 16.1433 Å, with angles of 90.00, 90.00 and 90.00 degrees. The inequivalent atoms are Hf at (0.0000, 0.0000, 0.1017), Hf at (0.0000, 0.0000, 0.3046), Ti at (0.0000, 0.0000, 0.5000), Tc at (0.5000, 0.5000, 0.0000), Tc at (0.5000, 0.5000, 0.2035) and Tc at (0.5000, 0.5000, 0.4068).

Its magnetization is 0.00 μB/cell. The calculation puts the electronic total energy at -104.20 eV/cell. As for the formation energy from the elements: -0.466 eV/atom.